Record 1
SbPbS4 | PBE | optimized geometry

Properties
- D(E_F): 0.171 states/eV per atom
- SG: P-1 (2)
- Size of the total moment: 0.00 μB/cell
- Energy relative to the lowest polymorph listed for this composition: 0 meV/atom
- Volume: 26.042 A^3/atom
- Crystal system: triclinic

abc: 7.4033 7.8431 6.6772
angles: 108.24 106.40 109.66
Closest atoms and distances in Å follow each position.
Element x y z (fractional)
Sb (0.8407, 0.5975, 0.7007)  4 S 2.60-2.66
Pb (0.5725, 0.8986, 0.2285)  4 S 2.82-3.13
S (0.9884, 0.3347, 0.6666)  1 S 2.05
S (0.2560, 0.4339, 0.9608)  1 S 2.05
Sb (0.1593, 0.4025, 0.2993)  4 S 2.60-2.66
S (0.0116, 0.6653, 0.3334)  1 S 2.05
S (0.7989, 0.0817, 0.9974)  1 Sb 2.60, 1 S 2.64, 2 Pb 2.82-2.91
S (0.7440, 0.5661, 0.0392)  1 S 2.05
Pb (0.4275, 0.1014, 0.7715)  4 S 2.82-3.13
S (0.4937, 0.2508, 0.3870)  1 S 2.64, 1 Sb 2.66, 1 Pb 2.95
S (0.2011, 0.9183, 0.0026)  1 Sb 2.60, 1 S 2.64, 2 Pb 2.82-2.91
S (0.5063, 0.7492, 0.6130)  1 S 2.64, 1 Sb 2.66, 1 Pb 2.95

Record 2
SiGeAs3 | PBE | optimized geometry

Properties
- D(E_F): 0.784 states/eV per atom
- SG: Pm-3m (221)
- Size of the total moment: 0.00 μB/cell
- Energy relative to the lowest polymorph listed for this composition: 559 meV/atom
- Volume: 21.818 A^3/atom
- Crystal system: cubic

abc: 4.7782 4.7782 4.7782
angles: 90.00 90.00 90.00
Closest atoms and distances in Å follow each position.
Element x y z (fractional)
Ge (0.5000, 0.5000, 0.5000)  12 As 3.38
As (0.5000, 0.0000, 0.0000)  2 Si 2.39
As (0.0000, 0.5000, 0.0000)  2 Si 2.39
Si (0.0000, 0.0000, 0.0000)  6 As 2.39
As (0.0000, 0.0000, 0.5000)  2 Si 2.39